A plane-wave DFT calculation with PBE-GGA was carried out for an optimized crystal structure of Be2B4Se.

Output
The calculation puts the uncorrected formation energy at 1789 meV/atom. The density of states at the Fermi level is 2.8 states/eV/f.u. For the total energy, the calculation gives -3.59 eV per atom.

Cell and atoms, written as CIF:
```
data_Be2B4Se
_space_group_name_H-M_alt 'I 4/m m m'
_space_group_IT_number 139
_space_group_name_Hall '-I 4 2'
_cell_length_a 4.184
_cell_length_b 4.184
_cell_length_c 9.707
_cell_angle_alpha 90.00
_cell_angle_beta 90.00
_cell_angle_gamma 90.00
loop_
_atom_site_label
_atom_site_type_symbol
_atom_site_fract_x
_atom_site_fract_y
_atom_site_fract_z
Be1 Be 0.000 0.000 0.101
B1 B 0.000 0.000 0.291
B2 B 0.000 0.500 0.000
Se1 Se 0.000 0.000 0.500
```



A plane-wave DFT calculation with PBE-GGA was carried out for an optimized crystal structure of BeSiB.

Output
The calculation puts the uncorrected formation energy at 328 meV/atom. The density of states at the Fermi level is 0.5 states/eV/f.u. For the total energy, the calculation gives -4.95 eV per atom.

Cell and atoms, written as CIF:
```
data_BeSiB
_space_group_name_H-M_alt 'C 1 2/m 1'
_space_group_IT_number 12
_cell_length_a 5.543
_cell_length_b 4.902
_cell_length_c 5.011
_cell_angle_alpha 90.00
_cell_angle_beta 114.13
_cell_angle_gamma 90.00
loop_
_space_group_symop_operation_xyz
'x,y,z'
'-x,-y,-z'
'-x,y,-z'
'x,-y,z'
'x+1/2,y+1/2,z'
'-x+1/2,-y+1/2,-z'
'-x+1/2,y+1/2,-z'
'x+1/2,-y+1/2,z'
loop_
_atom_site_label
_atom_site_type_symbol
_atom_site_fract_x
_atom_site_fract_y
_atom_site_fract_z
Be1 Be 0.214 0.000 0.087
Si1 Si 0.250 0.250 0.500
B1 B 0.000 0.334 0.000
```